1.
The following is a PBE-GGA calculation of a relaxed structure of Pm3Cd, from Alexandria via LeMat-Bulk.

Unit cell a=7.1300 b=7.1300 c=5.5604 alpha=90.00 beta=90.00 gamma=120.00
Closest atoms and distances in Å follow each position.
Positions (direct):
Pm  0.1740  0.3480  0.2500  4 Cd 3.41-3.57, 8 Pm 3.41-3.72
Pm  0.1740  0.8260  0.2500  4 Cd 3.41-3.57, 8 Pm 3.41-3.72
Pm  0.8260  0.6520  0.7500  4 Cd 3.41-3.57, 8 Pm 3.41-3.72
Pm  0.6520  0.8260  0.2500  4 Cd 3.41-3.57, 8 Pm 3.41-3.72
Pm  0.8260  0.1740  0.7500  4 Cd 3.41-3.57, 8 Pm 3.41-3.72
Pm  0.3480  0.1740  0.7500  4 Cd 3.41-3.57, 8 Pm 3.41-3.72
Cd  0.3333  0.6667  0.7500  12 Pm 3.41-3.57
Cd  0.6667  0.3333  0.2500  12 Pm 3.41-3.57

Output
The calculation puts the formation energy from the elements at -0.0960 eV/atom. Its space-group type is No. 194. The calculation puts the energy above the most stable polymorph in this dataset at 43 meV per atom. Its crystal system is hexagonal.

***

2.
The following is a PBE-GGA calculation of a relaxed structure of ScNbSiGe2, from Alexandria via LeMat-Bulk.

Unit cell a=4.7232 b=4.7451 c=4.7232 alpha=90.00 beta=90.00 gamma=90.00
Closest atoms and distances in Å follow each position.
Positions (direct):
Ge  0.5000  0.0000  0.0000  2 Si 2.36
Ge  0.0000  0.0000  0.5000  2 Si 2.36
Si  0.0000  0.0000  0.0000  4 Ge 2.36, 2 Nb 2.37
Nb  0.0000  0.5000  0.0000  2 Si 2.37
Sc  0.5000  0.5000  0.5000  4 Nb 3.34, 8 Ge 3.35

Output
Its space-group type is No. 123. For the raw formation energy, the calculation gives 0.53 eV per atom. Its crystal system is tetragonal.

***

3.
The following is a PBE-GGA calculation of a relaxed structure of Zr2InPt, from Alexandria via LeMat-Bulk.

Unit cell a=6.8244 b=5.1193 c=3.2486 alpha=90.00 beta=61.57 gamma=121.03
Closest atoms and distances in Å follow each position.
Positions (direct):
In  0.0000  0.5000  0.5000  2 Pt 3.00, 8 Zr 3.03, 2 In 3.25
Pt  0.5000  0.5000  0.0000  2 In 3.00, 8 Zr 3.03, 2 Pt 3.25
Zr  0.0000  0.0000  0.0000  4 Zr 3.00-3.25, 4 In 3.03, 4 Pt 3.03
Zr  0.5000  0.0000  0.5000  4 Zr 3.00-3.25, 4 Pt 3.03, 4 In 3.03

Output
The calculation puts the formation energy from the elements at -0.5438 eV/atom. Its space-group type is No. 65. Its crystal system is orthorhombic.

***

4.
The following is a PBE-GGA calculation of a relaxed structure of Na2SnHg2, from Alexandria via LeMat-Bulk.

Unit cell a=4.3303 b=4.3303 c=7.8767 alpha=74.05 beta=74.05 gamma=90.00
Closest atoms and distances in Å follow each position.
Positions (direct):
Hg  0.6016  0.6016  0.7967  1 Hg 2.95, 4 Na 3.05
Hg  0.3984  0.3984  0.2033  1 Hg 2.95, 4 Na 3.05
Sn  0.0000  0.0000  0.0000  8 Hg 3.40
Na  0.2500  0.7500  0.5000  4 Hg 3.05, 4 Na 3.06
Na  0.7500  0.2500  0.5000  4 Hg 3.05, 4 Na 3.06

Output
The calculation puts the formation energy from the elements at -0.0159 eV/atom. Its space-group type is No. 139. The calculation puts the energy above the most stable polymorph in this dataset at 193 meV per atom. Its crystal system is tetragonal.

***

5.
The following is a PBE-GGA calculation of a relaxed structure of KScMo2, from Alexandria via LeMat-Bulk.

Unit cell a=11.1153 b=11.1153 c=11.1153 alpha=15.22 beta=15.22 gamma=15.22
Closest atoms and distances in Å follow each position.
Positions (direct):
K  0.7500  0.7500  0.7500  6 K 2.94
Mo  0.5103  0.5103  0.5103  6 Mo 2.94, 3 Sc 2.95
Mo  0.9897  0.9897  0.9897  6 Mo 2.94, 3 Sc 2.95
Sc  0.2500  0.2500  0.2500  6 Sc 2.94, 6 Mo 2.95

Output
The calculation puts the formation energy from the elements at 0.9074 eV/atom. Its space-group type is No. 166. The calculation puts the energy above the most stable polymorph in this dataset at 427 meV per atom. Its crystal system is trigonal.

***

6.
The following is a PBE-GGA calculation of a relaxed structure of Sr2Zn2CdPd5, from Alexandria via LeMat-Bulk.

Unit cell a=3.7269 b=10.2176 c=10.2176 alpha=90.00 beta=90.00 gamma=90.00
Closest atoms and distances in Å follow each position.
Positions (direct):
Pd  0.5000  0.2906  0.5631  2 Zn 2.61, 2 Cd 2.91
Pd  0.5000  0.4369  0.2906  2 Zn 2.61, 2 Cd 2.91
Pd  0.5000  0.5631  0.7094  2 Zn 2.61, 2 Cd 2.91
Pd  0.5000  0.0631  0.7906  2 Zn 2.61, 2 Cd 2.91
Pd  0.5000  0.2094  0.0631  2 Zn 2.61, 2 Cd 2.91
Pd  0.5000  0.7094  0.4369  2 Zn 2.61, 2 Cd 2.91
Pd  0.5000  0.0000  0.5000  4 Zn 2.56
Pd  0.5000  0.9369  0.2094  2 Zn 2.61, 2 Cd 2.91
Pd  0.5000  0.5000  0.0000  4 Zn 2.56
Pd  0.5000  0.7906  0.9369  2 Zn 2.61, 2 Cd 2.91
Sr  0.0000  0.6773  0.1773  3 Zn 2.91-3.11, 2 Pd 3.17
Sr  0.0000  0.1773  0.3227  3 Zn 2.91-3.11, 2 Pd 3.17
Sr  0.0000  0.3227  0.8227  3 Zn 2.91-3.11, 2 Pd 3.17
Sr  0.0000  0.8227  0.6773  3 Zn 2.91-3.11, 2 Pd 3.17
Zn  0.0000  0.3784  0.1216  6 Pd 2.56-2.61
Zn  0.0000  0.1216  0.6216  6 Pd 2.56-2.61
Zn  0.0000  0.8784  0.3784  6 Pd 2.56-2.61
Zn  0.0000  0.6216  0.8784  6 Pd 2.56-2.61
Cd  0.0000  0.0000  0.0000  8 Pd 2.91
Cd  0.0000  0.5000  0.5000  8 Pd 2.91

Output
The calculation puts the formation energy from the elements at -0.5374 eV/atom. Its space-group type is No. 127. Its crystal system is tetragonal.

***

7.
The following is a PBE-GGA calculation of a relaxed structure of Pr4In2Ru, from Alexandria via LeMat-Bulk.

Unit cell a=3.5854 b=6.9541 c=9.6104 alpha=113.92 beta=90.00 gamma=90.00
Closest atoms and distances in Å follow each position.
Positions (direct):
In  0.5000  0.8587  0.5715  1 In 2.96
In  0.5000  0.2841  0.5714  1 In 2.96
Pr  0.0000  0.7090  0.8121  1 Ru 2.73
Pr  0.0000  0.4338  0.3308  1 Ru 2.73
Pr  0.5000  0.8843  0.2188  2 Ru 2.90
Pr  0.5000  0.2585  0.9241  2 Ru 2.90
Ru  0.0000  0.0714  0.0715  6 Pr 2.73-2.90

Output
The calculation puts the formation energy from the elements at -0.1999 eV/atom. Its space-group type is No. 10. The calculation puts the energy above the most stable polymorph in this dataset at 140 meV per atom. Its crystal system is monoclinic.

***

8.
The following is a PBE-GGA calculation of a relaxed structure of BaN, from Alexandria via LeMat-Bulk.

Unit cell a=10.2981 b=10.2981 c=4.5453 alpha=90.00 beta=90.00 gamma=120.00
Closest atoms and distances in Å follow each position.
Positions (direct):
N  0.4084  0.3405  0.2500  4 Ba 2.59-2.72
N  0.3405  0.9320  0.7500  4 Ba 2.59-2.72
N  0.6595  0.0680  0.2500  4 Ba 2.59-2.72
N  0.0680  0.4084  0.7500  4 Ba 2.59-2.72
N  0.9320  0.5916  0.2500  4 Ba 2.59-2.72
N  0.5916  0.6595  0.7500  4 Ba 2.59-2.72
Ba  0.9129  0.3182  0.2500  4 N 2.59-2.72
Ba  0.0871  0.6818  0.7500  4 N 2.59-2.72
Ba  0.5947  0.9129  0.7500  4 N 2.59-2.72
Ba  0.4053  0.0871  0.2500  4 N 2.59-2.72
Ba  0.6818  0.5947  0.2500  4 N 2.59-2.72
Ba  0.3182  0.4053  0.7500  4 N 2.59-2.72

Output
Its space-group type is No. 176. For the raw formation energy, the calculation gives 0.18 eV per atom. Its crystal system is hexagonal.